This record from Alexandria describes a geometry-optimized ZnTc2Te structure. The functional is GGA-PBE.

* volume: 16.2 Å³ per atom
* final energy: -46.630 eV per cell
* uncorrected formation energy: 0.46 eV per atom
* energy above the most stable polymorph in this dataset: 280 meV/atom

Cell: 3.964 3.964 8.260 Å, 90.00 90.00 90.00°
Space group I-4m2 (No. 119)
Symmetry-distinct sites (fractional):
Zn1 0.000 0.000 0.000 x2
Tc1 0.000 0.000 0.500 x2
Tc2 0.000 0.500 0.750 x2
Te1 0.000 0.500 0.250 x2

=====

This record from Alexandria describes a geometry-optimized TaCo2CuAg structure. The functional is GGA-PBE.

* volume: 20.6 Å³ per atom
* DFT formation energy: 2118 meV/atom
* final energy: -22.421 eV per cell

Cell: 4.586 4.586 4.893 Å, 90.00 90.00 90.00°
Space group P4/mmm (No. 123)
Symmetry-distinct sites (fractional):
Ta1 0.000 0.000 0.000 x1
Co1 0.000 0.500 0.500 x2
Cu1 0.500 0.500 0.000 x1
Ag1 0.000 0.000 0.500 x1

=====

This record from Alexandria describes a geometry-optimized Ac3Nd12Er structure. The functional is GGA-PBE.

* volume: 36.6 Å³ per atom
* DFT formation energy: 24 meV/atom
* final energy: -73.711 eV per cell

Cell: 5.272 5.272 21.037 Å, 90.00 90.00 90.00°
Space group P4/mmm (No. 123)
Symmetry-distinct sites (fractional):
Ac1 0.000 0.000 0.000 x1
Ac2 0.000 0.000 0.253 x2
Nd1 0.000 0.500 0.127 x4
Nd2 0.000 0.500 0.381 x4
Nd3 0.500 0.500 0.000 x1
Nd4 0.500 0.500 0.254 x2
Nd5 0.500 0.500 0.500 x1
Er1 0.000 0.000 0.500 x1

=====

This record from Alexandria describes a geometry-optimized Nb2TlFePt structure. The functional is GGA-PBE.

* volume: 22.3 Å³ per atom
* DFT formation energy: 1117 meV/atom
* final energy: -31.425 eV per cell

Cell: 4.914 4.914 4.617 Å, 90.00 90.00 90.00°
Space group P4/mmm (No. 123)
Symmetry-distinct sites (fractional):
Nb1 0.000 0.500 0.000 x2
Tl1 0.000 0.000 0.500 x1
Fe1 0.500 0.500 0.500 x1
Pt1 0.500 0.500 0.000 x1

=====

This record from Alexandria describes a geometry-optimized Tm3S2O2 structure. The functional is GGA-PBE.

* volume: 18.5 Å³ per atom
* final energy: -101.791 eV per cell
* uncorrected formation energy: -2.76 eV per atom

Cell: 12.415 3.706 6.282 Å, 90.00 116.11 90.00°
Space group C2/m (No. 12)
Symmetry-distinct sites (fractional):
Tm1 0.000 0.000 0.000 x2
Tm2 0.225 0.000 0.706 x4
S1 0.100 0.500 0.824 x4
O1 0.177 0.000 0.325 x4